Entry 1:
Material: Ca2ZnRh2
Method: DFT, PBE
State: relaxed Values from VASP.

Structure (Quantum ESPRESSO input):
```
&SYSTEM
  ibrav = 0, nat = 5, ntyp = 3
/
ATOMIC_SPECIES
Rh 102.91 Rh.upf
Ca 40.08 Ca.upf
Zn 65.41 Zn.upf
CELL_PARAMETERS angstrom
-1.702 -0.630 3.204
2.580 -2.473 0.884
5.019 4.523 5.670
ATOMIC_POSITIONS crystal
Rh 0.250 0.750 0.500
Rh 0.750 0.250 0.500
Ca 0.612 0.612 0.775
Ca 0.388 0.388 0.225
Zn 0.000 0.000 0.000
```

Energy of formation (kJ per mole of atoms): -3.80
Space group: I4/mmm (139)
Size of the total moment (μB/atom): 0.00

***

Entry 2:
Material: CaZr2Rh2
Method: DFT, PBE
State: relaxed Values from VASP.

Structure (Quantum ESPRESSO input):
```
&SYSTEM
  ibrav = 0, nat = 10, ntyp = 3
/
ATOMIC_SPECIES
Zr 91.22 Zr.upf
Rh 102.91 Rh.upf
Ca 40.08 Ca.upf
CELL_PARAMETERS angstrom
7.981 0.000 0.000
0.000 7.981 0.000
0.000 0.000 3.229
ATOMIC_POSITIONS crystal
Zr 0.349 0.151 0.500
Zr 0.849 0.349 0.500
Zr 0.151 0.651 0.500
Zr 0.651 0.849 0.500
Rh 0.638 0.138 0.000
Rh 0.862 0.638 0.000
Rh 0.138 0.362 0.000
Rh 0.362 0.862 0.000
Ca 0.500 0.500 0.000
Ca 0.000 0.000 0.000
```

Energy of formation (kJ per mole of atoms): -49.65
Space group: P4/mbm (127)
Distance to the lowest polymorph of the same formula (meV/atom): 0
Size of the total moment (μB/atom): 0.00

***

Entry 3:
Material: CaZr2Rh
Method: DFT, PBE
State: relaxed Values from VASP.

Structure (Quantum ESPRESSO input):
```
&SYSTEM
  ibrav = 0, nat = 8, ntyp = 3
/
ATOMIC_SPECIES
Rh 102.91 Rh.upf
Zr 91.22 Zr.upf
Ca 40.08 Ca.upf
CELL_PARAMETERS angstrom
-2.202 2.404 7.353
-0.062 -7.651 2.482
1.771 -2.390 5.711
ATOMIC_POSITIONS crystal
Rh 0.750 0.250 0.500
Rh 0.000 0.000 0.000
Zr 0.059 0.625 0.250
Zr 0.691 0.125 0.250
Zr 0.375 0.309 0.750
Zr 0.875 0.941 0.750
Ca 0.250 0.750 0.500
Ca 0.500 0.500 0.000
```

Energy of formation (kJ per mole of atoms): -1.45
Space group: I-42d (122)
Distance to the lowest polymorph of the same formula (meV/atom): 208
Size of the total moment (μB/atom): 0.00

***

Entry 4:
Material: CaZrRh3
Method: DFT, PBE
State: relaxed Values from VASP.

Structure (Quantum ESPRESSO input):
```
&SYSTEM
  ibrav = 0, nat = 5, ntyp = 3
/
ATOMIC_SPECIES
Rh 102.91 Rh.upf
Ca 40.08 Ca.upf
Zr 91.22 Zr.upf
CELL_PARAMETERS angstrom
4.858 0.000 0.000
0.000 4.858 0.000
0.000 0.000 4.858
ATOMIC_POSITIONS crystal
Rh 0.000 0.000 0.500
Rh 0.000 0.500 0.000
Rh 0.500 0.000 0.000
Ca 0.500 0.500 0.500
Zr 0.000 0.000 0.000
```

Energy of formation (kJ per mole of atoms): 17.15
Space group: Pm-3m (221)
Distance to the lowest polymorph of the same formula (meV/atom): 0
Size of the total moment (μB/atom): 0.00

***

Entry 5:
Material: Ca3ZrRh4
Method: DFT, PBE
State: relaxed Values from VASP.

Structure (Quantum ESPRESSO input):
```
&SYSTEM
  ibrav = 0, nat = 8, ntyp = 3
/
ATOMIC_SPECIES
Ca 40.08 Ca.upf
Zr 91.22 Zr.upf
Rh 102.91 Rh.upf
CELL_PARAMETERS angstrom
-2.794 0.892 -1.651
-1.045 -3.199 0.039
-6.385 2.233 12.009
ATOMIC_POSITIONS crystal
Ca 0.500 0.500 0.749
Ca 0.500 0.500 0.251
Ca 0.500 0.500 0.500
Zr 0.500 0.500 0.000
Rh 0.000 0.000 0.108
Rh 0.000 0.000 0.373
Rh 0.000 0.000 0.627
Rh 0.000 0.000 0.892
```

Energy of formation (kJ per mole of atoms): -47.13
Space group: P4/mmm (123)
Size of the total moment (μB/atom): 0.00

***

Entry 6:
Material: CaZr2Rh
Method: DFT, PBE
State: relaxed Values from VASP.

Structure (Quantum ESPRESSO input):
```
&SYSTEM
  ibrav = 0, nat = 4, ntyp = 3
/
ATOMIC_SPECIES
Rh 102.91 Rh.upf
Ca 40.08 Ca.upf
Zr 91.22 Zr.upf
CELL_PARAMETERS angstrom
-2.795 -0.991 1.024
1.151 -2.899 0.332
2.571 2.051 9.002
ATOMIC_POSITIONS crystal
Rh 0.500 0.500 0.750
Ca 0.500 0.500 0.250
Zr 0.000 0.000 0.936
Zr 0.000 0.000 0.564
```

Energy of formation (kJ per mole of atoms): -10.40
Space group: P4/mmm (123)
Distance to the lowest polymorph of the same formula (meV/atom): 115
Size of the total moment (μB/atom): 0.14